# 1
Below is AlZn3Te after structural relaxation, with properties calculated at the PBE-GGA level.

Cell and atoms, written as POSCAR:
```
AlZn3Te
1.0
4.9331 0.0000 0.0000
0.0000 4.9331 0.0000
0.0000 0.0000 4.9331
Zn Te Al
3 1 1
Cartesian
2.4665 0.0000 0.0000
0.0000 2.4665 0.0000
0.0000 0.0000 2.4665
2.4665 2.4665 2.4665
0.0000 0.0000 0.0000
```

## Properties
* spin magnetization: 0.000 μB/cell
* formation energy without anion corrections: 366 meV per atom
* SG: Pm-3m (221)


# 2
Below is AlZnTe3 after structural relaxation, with properties calculated at the PBE-GGA level.

Cell and atoms, written as POSCAR:
```
AlZnTe3
1.0
5.3565 0.0000 0.0000
0.0000 5.3565 0.0000
0.0000 0.0000 5.3565
Te Al Zn
3 1 1
Cartesian
0.0000 0.0000 2.6782
2.6782 0.0000 0.0000
0.0000 2.6782 0.0000
0.0000 0.0000 0.0000
2.6782 2.6782 2.6782
```

## Properties
* spin magnetization: 0.000 μB/cell
* formation energy without anion corrections: 347 meV per atom
* SG: Pm-3m (221)


# 3
Below is AlZn2Te after structural relaxation, with properties calculated at the PBE-GGA level.

Cell and atoms, written as POSCAR:
```
AlZn2Te
1.0
6.5323 0.0000 0.0000
0.0000 6.5323 0.0000
3.2661 3.2661 5.0774
Te Zn Al
2 4 2
Cartesian
6.5323 3.2661 2.5387
0.0000 0.0000 0.0000
8.1653 8.0840 3.8081
1.7143 4.8992 1.2694
4.8179 1.6331 1.2694
4.8992 4.9805 3.8081
3.2661 3.2661 0.0000
3.2661 6.5323 2.5387
```

## Properties
* spin magnetization: 0.000 μB/cell
* formation energy without anion corrections: 168 meV per atom
* SG: I-42d (122)